A relaxed structure of CeSmDy14. Source: the Alexandria database, functional PBE-GGA.

Results
Its formation energy is 2.81 kJ per mole of atoms. The calculation puts the total energy at -0.1714 Ha/atom. The crystal system is tetragonal.

Cell: 7.096 7.096 10.033 Å, 90.00 90.00 90.00°
Element x y z (fractional)
1 Sm 0.375 0.625 0.000
2 Dy 0.626 0.374 0.251
3 Dy 0.875 0.625 0.500
4 Dy 0.124 0.374 0.749
5 Dy 0.626 0.876 0.251
6 Dy 0.124 0.876 0.251
7 Dy 0.375 0.125 0.000
8 Dy 0.375 0.625 0.500
9 Dy 0.875 0.125 0.500
10 Dy 0.375 0.125 0.500
11 Dy 0.626 0.374 0.749
12 Dy 0.875 0.625 0.000
13 Dy 0.124 0.876 0.749
14 Dy 0.124 0.374 0.251
15 Dy 0.626 0.876 0.749
16 Ce 0.875 0.125 0.000